Entry 1:
The following is a DFT calculation (SCAN) of CsBePO4 at its PBEsol-relaxed geometry.

Cell lengths 5.150, 8.592, 8.905 Å; angles 90.00, 90.00, 90.00 degrees
Element x y z (fractional)
Cs (0.750, 0.493, 0.703)
Cs (0.250, 0.507, 0.297)
Cs (0.750, 0.993, 0.797)
Cs (0.250, 0.007, 0.203)
Be (0.250, 0.823, 0.589)
Be (0.750, 0.177, 0.411)
Be (0.250, 0.323, 0.911)
Be (0.750, 0.677, 0.089)
P (0.250, 0.687, 0.919)
P (0.750, 0.313, 0.081)
P (0.250, 0.187, 0.581)
P (0.750, 0.813, 0.419)
O (0.250, 0.510, 0.907)
O (0.750, 0.490, 0.093)
O (0.250, 0.010, 0.593)
O (0.750, 0.990, 0.407)
O (0.007, 0.245, 0.496)
O (0.507, 0.755, 0.504)
O (0.493, 0.745, 0.004)
O (0.993, 0.255, 0.996)
O (0.993, 0.755, 0.504)
O (0.493, 0.245, 0.496)
O (0.507, 0.255, 0.996)
O (0.007, 0.745, 0.004)
O (0.750, 0.740, 0.262)
O (0.250, 0.260, 0.738)
O (0.750, 0.240, 0.238)
O (0.250, 0.760, 0.762)

* symmetry: No. 62
* calculated volume: 14.072 A^3/atom


Entry 2:
The following is a DFT calculation (SCAN) of CsBe2SnO at its PBEsol-relaxed geometry.

Cell lengths 4.365, 4.365, 5.350 Å; angles 90.00, 90.00, 90.00 degrees
Element x y z (fractional)
Cs (0.500, 0.500, 0.500)
Be (0.000, 0.500, 0.000)
Be (0.500, 0.000, 0.000)
Sn (0.000, 0.000, 0.500)
O (0.000, 0.000, 0.000)

* symmetry: No. 123
* calculated volume: 20.383 A^3/atom


Entry 3:
The following is a DFT calculation (SCAN) of CsBeZn2O at its PBEsol-relaxed geometry.

Cell lengths 2.999, 6.334, 6.334 Å; angles 90.00, 90.00, 90.00 degrees
Element x y z (fractional)
Cs (0.500, 0.500, 0.500)
Be (0.500, 0.000, 0.000)
Zn (0.000, 0.000, 0.500)
Zn (0.000, 0.500, 0.000)
O (0.000, 0.000, 0.000)

* symmetry: No. 123
* calculated volume: 24.060 A^3/atom


no.,DFT total energy (eV/atom),magnetic moment (Bohr magnetons per cell),E_form (uncorrected) (eV per atom)
1,-13.83,0.000,-2.759
2,-16.76,0.001,0.974
3,-15.42,0.000,-0.335